Run one
An optimized crystal structure of NbCoPdPb, computed with PBE.

Properties
spin magnetization = 2.40 Bohr magnetons per cell
calculated density = 11.4 g cm⁻³

a b c (Å): 6.470 6.470 6.470
angles (deg): 90.00 90.00 90.00
Space group F-43m (No. 216)
Unique sites:
Nb: 0.000 0.000 0.000 [4 per cell]
Co: 0.000 0.000 0.500 [4 per cell]
Pd: 0.250 0.250 0.750 [4 per cell]
Pb: 0.250 0.250 0.250 [4 per cell]

Run two
An optimized crystal structure of NbCoPdPb, computed with PBE.

Properties
spin magnetization = 0.70 Bohr magnetons per cell
calculated density = 11.4 g cm⁻³

a b c (Å): 6.466 6.466 6.466
angles (deg): 90.00 90.00 90.00
Space group F-43m (No. 216)
Unique sites:
Nb: 0.000 0.000 0.000 [4 per cell]
Co: 0.250 0.250 0.750 [4 per cell]
Pd: 0.250 0.250 0.250 [4 per cell]
Pb: 0.000 0.000 0.500 [4 per cell]

Stability summary: most stable run two, least stable run one.

Run one
An optimized crystal structure of NbZnCoPb, computed with PBE.

Properties
spin magnetization = 0.11 Bohr magnetons per cell
calculated density = 10.4 g cm⁻³

a b c (Å): 6.476 6.476 6.476
angles (deg): 90.00 90.00 90.00
Space group F-43m (No. 216)
Unique sites:
Nb: 0.000 0.000 0.000 [4 per cell]
Zn: 0.250 0.250 0.750 [4 per cell]
Co: 0.000 0.000 0.500 [4 per cell]
Pb: 0.250 0.250 0.250 [4 per cell]

Run two
An optimized crystal structure of NbZnCoPb, computed with PBE.

Properties
spin magnetization = 0.02 Bohr magnetons per cell
calculated density = 10.5 g cm⁻³

a b c (Å): 6.455 6.455 6.455
angles (deg): 90.00 90.00 90.00
Space group F-43m (No. 216)
Unique sites:
Nb: 0.000 0.000 0.000 [4 per cell]
Zn: 0.250 0.250 0.250 [4 per cell]
Co: 0.250 0.250 0.750 [4 per cell]
Pb: 0.000 0.000 0.500 [4 per cell]

Stability summary: most stable run two, least stable run one.

Run one
An optimized crystal structure of NbCoSiPt, computed with PBE.

Properties
spin magnetization = 2.86 Bohr magnetons per cell
calculated density = 10.8 g cm⁻³

a b c (Å): 6.135 6.135 6.135
angles (deg): 90.00 90.00 90.00
Space group F-43m (No. 216)
Unique sites:
Nb: 0.000 0.000 0.000 [4 per cell]
Co: 0.250 0.250 0.750 [4 per cell]
Si: 0.000 0.000 0.500 [4 per cell]
Pt: 0.250 0.250 0.250 [4 per cell]

Run two
An optimized crystal structure of NbCoSiPt, computed with PBE.

Properties
spin magnetization = 1.61 Bohr magnetons per cell
calculated density = 10.8 g cm⁻³

a b c (Å): 6.126 6.126 6.126
angles (deg): 90.00 90.00 90.00
Space group F-43m (No. 216)
Unique sites:
Nb: 0.000 0.000 0.000 [4 per cell]
Co: 0.000 0.000 0.500 [4 per cell]
Si: 0.250 0.250 0.250 [4 per cell]
Pt: 0.250 0.250 0.750 [4 per cell]

Stability summary: most stable run two, least stable run one.

Run one
An optimized crystal structure of YNbCoSi, computed with PBE.

Properties
spin magnetization = 11.44 Bohr magnetons per cell
calculated density = 6.4 g cm⁻³

a b c (Å): 6.518 6.518 6.518
angles (deg): 90.00 90.00 90.00
Space group F-43m (No. 216)
Unique sites:
Y: 0.000 0.000 0.000 [4 per cell]
Nb: 0.250 0.250 0.750 [4 per cell]
Co: 0.000 0.000 0.500 [4 per cell]
Si: 0.250 0.250 0.250 [4 per cell]

Run two
An optimized crystal structure of YNbCoSi, computed with PBE.

Properties
spin magnetization = 10.11 Bohr magnetons per cell
calculated density = 6.8 g cm⁻³

a b c (Å): 6.418 6.418 6.418
angles (deg): 90.00 90.00 90.00
Space group F-43m (No. 216)
Unique sites:
Y: 0.000 0.000 0.000 [4 per cell]
Nb: 0.250 0.250 0.250 [4 per cell]
Co: 0.250 0.250 0.750 [4 per cell]
Si: 0.000 0.000 0.500 [4 per cell]

Stability summary: most stable run two, least stable run one.

Run one
An optimized crystal structure of NbZnCoSi, computed with PBE.

Properties
spin magnetization = 5.54 Bohr magnetons per cell
calculated density = 7.4 g cm⁻³

a b c (Å): 6.039 6.039 6.039
angles (deg): 90.00 90.00 90.00
Space group F-43m (No. 216)
Unique sites:
Nb: 0.000 0.000 0.000 [4 per cell]
Zn: 0.250 0.250 0.750 [4 per cell]
Co: 0.000 0.000 0.500 [4 per cell]
Si: 0.250 0.250 0.250 [4 per cell]

Run two
An optimized crystal structure of NbZnCoSi, computed with PBE.

Properties
spin magnetization = 0.10 Bohr magnetons per cell
calculated density = 7.5 g cm⁻³

a b c (Å): 6.024 6.024 6.024
angles (deg): 90.00 90.00 90.00
Space group F-43m (No. 216)
Unique sites:
Nb: 0.000 0.000 0.000 [4 per cell]
Zn: 0.250 0.250 0.250 [4 per cell]
Co: 0.250 0.250 0.750 [4 per cell]
Si: 0.000 0.000 0.500 [4 per cell]

Stability summary: most stable run one, least stable run two.

Run one
An optimized crystal structure of SmNbCo, computed with PBE.

Properties
spin magnetization = 0.12 Bohr magnetons per cell
calculated density = 8.0 g cm⁻³

a b c (Å): 6.309 6.309 6.309
angles (deg): 90.00 90.00 90.00
Space group F-43m (No. 216)
Unique sites:
Sm: 0.000 0.000 0.000 [4 per cell]
Nb: 0.250 0.250 0.250 [4 per cell]
Co: 0.250 0.250 0.750 [4 per cell]

Run two
An optimized crystal structure of SmNbCo, computed with PBE.

Properties
spin magnetization = 0.06 Bohr magnetons per cell
calculated density = 8.0 g cm⁻³

a b c (Å): 6.312 6.312 6.312
angles (deg): 90.00 90.00 90.00
Space group F-43m (No. 216)
Unique sites:
Sm: 0.000 0.000 0.000 [4 per cell]
Nb: 0.250 0.250 0.750 [4 per cell]
Co: 0.000 0.000 0.500 [4 per cell]

Stability summary: most stable run two, least stable run one.

Run one
An optimized crystal structure of NbZnCoSn, computed with PBE.

Properties
spin magnetization = 0.33 Bohr magnetons per cell
calculated density = 8.8 g cm⁻³

a b c (Å): 6.333 6.333 6.333
angles (deg): 90.00 90.00 90.00
Space group F-43m (No. 216)
Unique sites:
Nb: 0.000 0.000 0.000 [4 per cell]
Zn: 0.250 0.250 0.250 [4 per cell]
Co: 0.250 0.250 0.750 [4 per cell]
Sn: 0.000 0.000 0.500 [4 per cell]

Run two
An optimized crystal structure of NbZnCoSn, computed with PBE.

Properties
spin magnetization = 8.82 Bohr magnetons per cell
calculated density = 8.6 g cm⁻³

a b c (Å): 6.382 6.382 6.382
angles (deg): 90.00 90.00 90.00
Space group F-43m (No. 216)
Unique sites:
Nb: 0.000 0.000 0.000 [4 per cell]
Zn: 0.250 0.250 0.750 [4 per cell]
Co: 0.000 0.000 0.500 [4 per cell]
Sn: 0.250 0.250 0.250 [4 per cell]

Stability summary: most stable run one, least stable run two.

Run one
An optimized crystal structure of SrNbCo, computed with PBE.

Properties
spin magnetization = 4.71 Bohr magnetons per cell
calculated density = 5.9 g cm⁻³

a b c (Å): 6.457 6.457 6.457
angles (deg): 90.00 90.00 90.00
Space group F-43m (No. 216)
Unique sites:
Sr: 0.000 0.000 0.000 [4 per cell]
Nb: 0.000 0.000 0.500 [4 per cell]
Co: 0.250 0.250 0.750 [4 per cell]

Run two
An optimized crystal structure of SrNbCo, computed with PBE.

Properties
spin magnetization = 0.90 Bohr magnetons per cell
calculated density = 5.8 g cm⁻³

a b c (Å): 6.511 6.511 6.511
angles (deg): 90.00 90.00 90.00
Space group F-43m (No. 216)
Unique sites:
Sr: 0.000 0.000 0.000 [4 per cell]
Nb: 0.250 0.250 0.250 [4 per cell]
Co: 0.250 0.250 0.750 [4 per cell]

Stability summary: most stable run one, least stable run two.